No. 1
# Pu2Mn2Ru3, relaxed, DFT GGA-PBE
data_Pu2Mn2Ru3
_space_group_name_H-M_alt 'C m m m'
_space_group_IT_number 65
_space_group_name_Hall '-C 2 2'
_cell_length_a 3.075
_cell_length_b 25.538
_cell_length_c 3.059
_cell_angle_alpha 90.00
_cell_angle_beta 90.00
_cell_angle_gamma 90.00
loop_
_atom_site_label
_atom_site_fract_x
_atom_site_fract_y
_atom_site_fract_z
Pu1 0.000 0.189 0.000
Mn1 0.000 0.057 0.000
Ru1 0.000 0.385 0.500
Ru2 0.000 0.500 0.500
# Formation energy from the elements   0.09 eV per atom
# Size of the total moment   3.89 μB per formula unit
# VASP energy   -10.603 eV/atom

No. 2
# WAuSN2, relaxed, DFT GGA-PBE
data_WAuSN2
_space_group_name_H-M_alt 'P 4/m m m'
_space_group_IT_number 123
_space_group_name_Hall '-P 4 2'
_cell_length_a 3.956
_cell_length_b 3.956
_cell_length_c 4.759
_cell_angle_alpha 90.00
_cell_angle_beta 90.00
_cell_angle_gamma 90.00
loop_
_atom_site_label
_atom_site_fract_x
_atom_site_fract_y
_atom_site_fract_z
W1 0.000 0.000 0.000
Au1 0.500 0.500 0.500
S1 0.500 0.500 0.000
N1 0.000 0.500 0.500
# Raw formation energy   2.39 eV/atom
# Size of the total moment   0.00 μB per formula unit
# VASP energy   -5.012 eV/atom